1.
Compound: Na4NpU3N8
Source: the Alexandria database
Functional: PBE
Structure: optimized geometry

a = 7.019 Å, b = 6.974 Å, c = 7.019 Å
α = 120.24°, β = 120.00°, γ = 90.00°
Site moments in Bohr magnetons follow the coordinates.
Sites, in units of the cell vectors:
1 N 0.272 0.318 0.545  -0.04
2 Na 0.500 0.000 0.000  0.00
3 Na 0.500 0.000 0.500  0.00
4 N 0.769 0.320 0.538  -0.07
5 U 0.500 0.500 0.000  0.83
6 Na 0.000 0.000 0.000  0.00
7 Np 0.000 0.500 0.000  2.83
8 Na 0.000 0.000 0.500  0.00
9 N 0.231 0.680 0.462  -0.07
10 N 0.231 0.680 0.950  -0.07
11 N 0.769 0.320 0.050  -0.07
12 N 0.282 0.320 0.050  -0.07
13 N 0.718 0.680 0.950  -0.07
14 U 0.000 0.500 0.500  0.83
15 U 0.500 0.500 0.500  0.83
16 N 0.728 0.682 0.455  -0.04

Calculated volume (A^3/atom): 15.13
Theoretical density (Mg/m³): 7.92
Space-group type: No. 166
Formation energy from raw total energies (eV per atom): -0.987
Final energy (eV/atom): -8.405

---

2.
Compound: NaNp4UN8
Source: the Alexandria database
Functional: PBE
Structure: optimized geometry

a = 6.909 Å, b = 6.909 Å, c = 6.544 Å
α = 58.14°, β = 58.14°, γ = 60.00°
Site moments in Bohr magnetons follow the coordinates.
Sites, in units of the cell vectors:
1 Np 0.617 0.617 0.149  3.26
2 Np 0.001 0.001 0.498  2.32
3 N 0.218 0.740 0.302  -0.17
4 U 0.393 0.393 0.822  1.46
5 N 0.762 0.762 0.714  -0.15
6 Na 0.998 0.998 0.005  0.00
7 N 0.247 0.247 0.259  -0.12
8 N 0.252 0.780 0.716  -0.14
9 Np 0.500 0.001 0.498  2.32
10 N 0.740 0.740 0.302  -0.17
11 N 0.252 0.252 0.716  -0.14
12 N 0.740 0.218 0.302  -0.17
13 N 0.780 0.252 0.716  -0.14
14 Np 0.001 0.500 0.498  2.32

Calculated volume (A^3/atom): 15.32
Theoretical density (Mg/m³): 10.23
Space-group type: No. 160
Formation energy from raw total energies (eV per atom): -0.909
Final energy (eV/atom): -10.264

---

3.
Compound: Na3NpU3N8
Source: the Alexandria database
Functional: PBE
Structure: optimized geometry

a = 7.005 Å, b = 7.005 Å, c = 6.983 Å
α = 120.12°, β = 90.00°, γ = 120.00°
Site moments in Bohr magnetons follow the coordinates.
Sites, in units of the cell vectors:
1 Na 0.000 0.500 0.000  0.00
2 U 0.000 0.500 0.500  0.74
3 N 0.723 0.945 0.667  -0.07
4 Na 0.000 0.000 0.000  0.00
5 U 0.500 0.500 0.500  0.74
6 N 0.778 0.055 0.333  -0.07
7 N 0.277 0.055 0.333  -0.07
8 Na 0.500 0.500 0.000  0.00
9 N 0.778 0.555 0.333  -0.07
10 N 0.728 0.456 0.684  -0.04
11 N 0.272 0.544 0.316  -0.04
12 U 0.500 0.000 0.500  0.74
13 N 0.222 0.945 0.667  -0.07
14 N 0.222 0.445 0.667  -0.07
15 Np 0.000 0.000 0.500  2.19

Calculated volume (A^3/atom): 16.12
Theoretical density (Mg/m³): 7.77
Space-group type: No. 166
Formation energy from raw total energies (eV per atom): -0.990
Final energy (eV/atom): -8.814

---

4.
Compound: Na2NpUN4
Source: the Alexandria database
Functional: PBE
Structure: optimized geometry

a = 3.505 Å, b = 6.068 Å, c = 6.011 Å
α = 109.77°, β = 90.00°, γ = 90.00°
Site moments in Bohr magnetons follow the coordinates.
Sites, in units of the cell vectors:
1 Np 0.000 0.000 0.000  2.59
2 N 0.500 0.231 0.179  -0.11
3 U 0.500 0.500 0.000  0.68
4 Na 0.000 0.500 0.500  0.00
5 N 0.000 0.720 0.182  -0.07
6 N 0.500 0.769 0.821  -0.11
7 Na 0.500 0.000 0.500  0.00
8 N 0.000 0.280 0.818  -0.07

Calculated volume (A^3/atom): 15.04
Theoretical density (Mg/m³): 7.96
Space-group type: No. 10
Formation energy from raw total energies (eV per atom): -0.941
Final energy (eV/atom): -8.463

---

5.
Compound: Na3Np3UN8
Source: the Alexandria database
Functional: PBE
Structure: optimized geometry

a = 6.979 Å, b = 6.979 Å, c = 6.965 Å
α = 120.07°, β = 90.00°, γ = 120.00°
Site moments in Bohr magnetons follow the coordinates.
Sites, in units of the cell vectors:
1 N 0.730 0.949 0.669  -0.10
2 N 0.270 0.051 0.331  -0.10
3 Np 0.500 0.500 0.500  2.23
4 N 0.219 0.949 0.669  -0.10
5 N 0.273 0.546 0.319  -0.13
6 Np 0.000 0.500 0.500  2.23
7 N 0.219 0.439 0.669  -0.10
8 N 0.727 0.454 0.681  -0.13
9 Na 0.500 0.500 0.000  0.00
10 Na 0.000 0.000 0.000  0.00
11 N 0.781 0.051 0.331  -0.10
12 U 0.000 0.000 0.500  0.15
13 N 0.781 0.561 0.331  -0.10
14 Np 0.500 0.000 0.500  2.23
15 Na 0.000 0.500 0.000  0.00

Calculated volume (A^3/atom): 15.98
Theoretical density (Mg/m³): 7.83
Space-group type: No. 166
Formation energy from raw total energies (eV per atom): -0.887
Final energy (eV/atom): -8.932

---

6.
Compound: Na3Np3VN8
Source: the Alexandria database
Functional: PBE
Structure: optimized geometry

a = 6.643 Å, b = 6.644 Å, c = 6.862 Å
α = 118.97°, β = 90.00°, γ = 119.99°
Site moments in Bohr magnetons follow the coordinates.
Sites, in units of the cell vectors:
1 N 0.782 0.565 0.326  -0.11
2 N 0.269 0.538 0.307  -0.11
3 N 0.782 0.044 0.326  -0.11
4 Np 0.000 0.500 0.500  1.78
5 Np 0.500 0.500 0.500  1.78
6 Np 0.500 0.000 0.500  1.78
7 Na 0.500 0.500 0.000  0.00
8 N 0.218 0.956 0.674  -0.11
9 Na 0.000 0.000 0.000  0.00
10 Na 0.000 0.500 0.000  0.00
11 N 0.262 0.044 0.326  -0.11
12 N 0.731 0.462 0.693  -0.11
13 N 0.738 0.956 0.674  -0.11
14 N 0.218 0.435 0.674  -0.11
15 V 0.000 0.000 0.500  0.56

Calculated volume (A^3/atom): 14.50
Theoretical density (Mg/m³): 7.20
Space-group type: No. 166
Formation energy from raw total energies (eV per atom): -0.720
Final energy (eV/atom): -8.620

---

7.
Compound: Na3Np2VN6
Source: the Alexandria database
Functional: PBE
Structure: optimized geometry

a = 5.702 Å, b = 5.702 Å, c = 5.963 Å
α = 99.02°, β = 99.02°, γ = 120.07°
Site moments in Bohr magnetons follow the coordinates.
Sites, in units of the cell vectors:
1 N 0.386 0.062 0.186  -0.10
2 N 0.614 0.938 0.814  -0.10
3 N 0.062 0.386 0.186  -0.10
4 N 0.264 0.264 0.814  -0.10
5 N 0.938 0.614 0.814  -0.10
6 Np 0.333 0.667 0.000  1.74
7 Na 0.841 0.159 0.500  0.00
8 Na 0.159 0.841 0.500  0.00
9 Na 0.500 0.500 0.500  0.00
10 Np 0.667 0.333 0.000  1.74
11 N 0.736 0.736 0.186  -0.10
12 V 0.000 0.000 0.000  1.07

Calculated volume (A^3/atom): 13.28
Theoretical density (Mg/m³): 7.07
Space-group type: No. 12
Formation energy from raw total energies (eV per atom): -0.744
Final energy (eV/atom): -8.153

---

8.
Compound: Na2NpVN4
Source: the Alexandria database
Functional: PBE
Structure: optimized geometry

a = 4.690 Å, b = 7.462 Å, c = 6.559 Å
α = 90.00°, β = 90.00°, γ = 90.00°
Site moments in Bohr magnetons follow the coordinates.
Sites, in units of the cell vectors:
1 Np 0.435 0.889 0.000  2.23
2 Na 0.442 0.372 0.259  0.00
3 N 0.434 0.703 0.252  -0.09
4 Na 0.442 0.372 0.741  0.00
5 Na 0.942 0.628 0.241  0.00
6 N 0.378 0.158 0.000  -0.11
7 N 0.443 0.061 0.500  -0.10
8 N 0.878 0.842 0.500  -0.11
9 V 0.990 0.185 0.000  0.14
10 N 0.934 0.297 0.248  -0.09
11 N 0.943 0.939 0.000  -0.10
12 Np 0.935 0.111 0.500  2.23
13 Na 0.942 0.628 0.759  0.00
14 V 0.490 0.815 0.500  0.14
15 N 0.434 0.703 0.748  -0.09
16 N 0.934 0.297 0.752  -0.09

Calculated volume (A^3/atom): 14.35
Theoretical density (Mg/m³): 5.64
Space-group type: No. 31
Formation energy from raw total energies (eV per atom): -0.633
Final energy (eV/atom): -7.883

---

9.
Compound: Na4Np3WN8
Source: the Alexandria database
Functional: PBE
Structure: optimized geometry

a = 6.725 Å, b = 6.896 Å, c = 6.724 Å
α = 119.19°, β = 120.00°, γ = 90.00°
Site moments in Bohr magnetons follow the coordinates.
Sites, in units of the cell vectors:
1 N 0.780 0.313 0.561  0.09
2 W 0.000 0.500 0.000  -0.36
3 Na 0.500 0.000 0.500  0.00
4 N 0.780 0.313 0.033  0.09
5 N 0.220 0.687 0.967  0.09
6 N 0.270 0.310 0.540  0.13
7 Na 0.000 0.000 0.000  0.00
8 Na 0.500 0.000 0.000  0.00
9 Np 0.500 0.500 0.000  -2.43
10 N 0.220 0.687 0.439  0.09
11 N 0.252 0.313 0.033  0.09
12 N 0.730 0.690 0.460  0.13
13 Na 0.000 0.000 0.500  0.00
14 Np 0.500 0.500 0.500  -2.43
15 N 0.748 0.687 0.967  0.09
16 Np 0.000 0.500 0.500  -2.43

Calculated volume (A^3/atom): 13.95
Theoretical density (Mg/m³): 8.18
Space-group type: No. 166
Formation energy from raw total energies (eV per atom): -0.722
Final energy (eV/atom): -8.450

---

10.
Compound: Na3Np3WN8
Source: the Alexandria database
Functional: PBE
Structure: optimized geometry

a = 6.704 Å, b = 6.704 Å, c = 6.912 Å
α = 119.03°, β = 90.01°, γ = 120.00°
Site moments in Bohr magnetons follow the coordinates.
Sites, in units of the cell vectors:
1 N 0.730 0.460 0.690  -0.12
2 N 0.270 0.540 0.310  -0.12
3 Na 0.000 0.000 0.000  0.00
4 N 0.216 0.432 0.678  -0.10
5 W 0.000 0.000 0.500  0.20
6 N 0.746 0.963 0.678  -0.10
7 N 0.254 0.037 0.322  -0.10
8 Np 0.000 0.500 0.500  2.20
9 Na 0.500 0.500 0.000  0.00
10 Na 0.000 0.500 0.000  0.00
11 Np 0.500 0.500 0.500  2.20
12 N 0.784 0.038 0.322  -0.10
13 Np 0.500 0.000 0.500  2.20
14 N 0.784 0.568 0.322  -0.10
15 N 0.216 0.962 0.678  -0.10

Calculated volume (A^3/atom): 14.86
Theoretical density (Mg/m³): 8.02
Space-group type: No. 166
Formation energy from raw total energies (eV per atom): -0.710
Final energy (eV/atom): -8.866

---

- Among the records above, which one has the lowest theoretical density?
  Na2NpVN4

---

- Which value of calculated volume does entry 1 give?
  15.13 A^3/atom